Entry 1:
AsIr2Os: relaxed, PBE.

For the total energy, the calculation gives -7.85 eV per atom. The crystal system is cubic.

The structure belongs to space group F-43m (No. 216); the cell edges are 6.226, 6.226 and 6.226 Å and the angles 90.00°, 90.00° and 90.00°. The inequivalent atoms are As at (0.000, 0.000, 0.000), Ir at (0.000, 0.000, 0.500), Ir at (0.250, 0.250, 0.750) and Os at (0.250, 0.250, 0.250).



Entry 2:
Rb2LiZrF6: relaxed, PBE.

For the total energy, the calculation gives -5.37 eV per atom. The crystal system is monoclinic.

The structure belongs to space group P2_1/c (No. 14); the cell edges are 5.978, 5.739 and 10.231 Å and the angles 90.00°, 125.62° and 90.00°. The inequivalent atoms are Rb at (0.248, 0.014, 0.247), Li at (0.500, 0.000, 0.000), Zr at (0.000, 0.000, 0.500), F at (0.246, 0.250, 0.486), F at (0.260, 0.526, 0.255) and F at (0.273, 0.746, 0.009).



Entry 3:
YCuBiIr: relaxed, PBE.

The distance to the lowest polymorph of the same formula comes out at 24.2 kJ per mole of atoms. The crystal system is cubic.

The structure belongs to space group F-43m (No. 216); the cell edges are 6.876, 6.876 and 6.876 Å and the angles 90.00°, 90.00° and 90.00°. The inequivalent atoms are Y at (0.000, 0.000, 0.000), Cu at (0.000, 0.000, 0.500), Bi at (0.250, 0.250, 0.250) and Ir at (0.250, 0.250, 0.750).



Entry 4:
SrZnGa6: relaxed, PBE.

For the total energy, the calculation gives -2.90 eV per atom. The crystal system is tetragonal.

The structure belongs to space group P4/mmm (No. 123); the cell edges are 4.592, 4.592 and 7.779 Å and the angles 90.00°, 90.00° and 90.00°. The inequivalent atoms are Sr at (0.000, 0.000, 0.000), Zn at (0.000, 0.000, 0.500), Ga at (0.000, 0.500, 0.328) and Ga at (0.500, 0.500, 0.161).



Entry 5:
Nb2HgO4: relaxed, PBE.

For the total energy, the calculation gives -7.30 eV per atom. The crystal system is cubic.

The structure belongs to space group Fd-3m (No. 227, origin choice 2); the cell edges are 9.351, 9.351 and 9.351 Å and the angles 90.00°, 90.00° and 90.00°. The inequivalent atoms are Nb at (0.000, 0.000, 0.000), Hg at (0.125, 0.125, 0.625) and O at (0.026, 0.026, 0.224).



Entry 6:
NbBrCl4: relaxed, PBE.

For the total energy, the calculation gives -4.34 eV per atom. The crystal system is triclinic.

The structure belongs to space group P-1 (No. 2); the cell edges are 6.538, 7.044 and 9.648 Å and the angles 108.88°, 91.86° and 114.85°. The inequivalent atoms are Nb at (0.109, 0.224, 0.226), Br at (0.242, 0.184, 0.955), Cl at (0.065, 0.815, 0.576), Cl at (0.111, 0.625, 0.849), Cl at (0.299, 0.017, 0.247) and Cl at (0.431, 0.564, 0.327).